# Tl3Pt

An optimized crystal structure of Tl3Pt (PBE, Alexandria).

Structure (POSCAR):
```
Tl3Pt
1.0
4.767 0.000 0.000
0.000 4.767 0.000
0.000 0.000 4.422
Tl Pt
3 1
direct
0.000 0.000 0.000 Tl
0.000 0.500 0.500 Tl
0.500 0.000 0.500 Tl
0.500 0.500 0.000 Pt
```

Energy above the lowest structure with this stoichiometry   0.187 eV/atom
Total moment   0.0 μB per formula unit
Electronic total energy   -3.1197 eV per atom
E_form   0.17 eV per atom